Material: ErTmTc4
Method: DFT, GGA-PBE
State: optimized geometry

Cell: 5.3754 5.3754 5.3754 Å, 60.00 60.00 60.00°
Positions (direct):
Er: 0.0000 0.0000 0.0000
Tc: 0.6250 0.6250 0.1251
Tc: 0.6250 0.6250 0.6250
Tc: 0.1251 0.6250 0.6250
Tc: 0.6250 0.1251 0.6250
Tm: 0.2500 0.2500 0.2500

The space group is F-43m. Its volume is 109.8 Å³ per cell. Its crystal system is cubic. The calculation puts the formation energy at -0.19 eV per atom.

***

Material: La2MoBr
Method: DFT, GGA-PBE
State: optimized geometry

Cell: 3.6401 3.6401 8.5497 Å, 90.00 90.00 102.28°
Positions (direct):
La: 0.0000 0.0000 0.4612
La: 0.0000 0.0000 0.0388
Br: 0.5000 0.5000 0.7500
Mo: 0.5000 0.5000 0.2500

The space group is Cmmm. Its volume is 110.7 Å³ per cell. As for the uncorrected formation energy: -8.18 kcal/mol of atoms. For the polymorph energy (0 for the lowest one), the calculation gives 16.1 meV/atom. Its crystal system is orthorhombic.

***

no.,uncorrected energy (eV per atom)
1,-8.6108
2,-5.9442